[1]
Computed, not measured: a crystal of TcSbP relaxed with PBEsol at the SCAN level of DFT.

```
3
Lattice="0.000 3.030 3.030 3.030 0.000 3.030 3.030 3.030 0.000" Properties=species:S:1:pos:R:3 pbc="T T T"
Tc 0.000 0.000 0.000
Sb 1.515 1.515 1.515
P 4.546 4.546 4.546
```

Calculated values
Formation energy (no corrections), meV/atom: 240

---

[2]
Computed, not measured: a crystal of Tc2SbP relaxed with PBEsol at the SCAN level of DFT.

```
4
Lattice="0.000 3.085 3.085 3.085 0.000 3.085 3.085 3.085 0.000" Properties=species:S:1:pos:R:3 pbc="T T T"
Tc 1.542 1.542 1.542
Tc 4.627 4.627 4.627
Sb 0.000 0.000 0.000
P 3.085 3.085 3.085
```

Calculated values
Formation energy (no corrections), meV/atom: 76

---

[3]
Computed, not measured: a crystal of SbTeP2 relaxed with PBEsol at the SCAN level of DFT.

```
4
Lattice="-1.584 2.064 7.635 1.584 -2.064 7.635 1.584 2.064 -7.635" Properties=species:S:1:pos:R:3 pbc="T T T"
Sb 0.000 0.000 0.000
Te 1.584 0.000 5.579
P 0.000 0.000 9.587
P 0.000 2.064 3.365
```

Calculated values
Formation energy (no corrections), meV/atom: 214

---

[4]
Computed, not measured: a crystal of Sb2TeP relaxed with PBEsol at the SCAN level of DFT.

```
4
Lattice="2.122 1.225 6.568 -2.122 1.225 6.568 0.000 -2.450 6.568" Properties=species:S:1:pos:R:3 pbc="T T T"
Sb 0.000 0.000 4.652
Sb 0.000 0.000 15.053
Te 0.000 0.000 0.000
P 0.000 0.000 9.852
```

Calculated values
Formation energy (no corrections), meV/atom: 116

---

[5]
Computed, not measured: a crystal of Sb2TeP relaxed with PBEsol at the SCAN level of DFT.

```
4
Lattice="3.545 0.000 0.000 0.000 3.545 0.000 0.000 0.000 7.803" Properties=species:S:1:pos:R:3 pbc="T T T"
Sb 0.000 0.000 0.000
Sb 1.773 1.773 2.456
Te 0.000 0.000 4.241
P 1.773 1.773 6.715
```

Calculated values
Formation energy (no corrections), meV/atom: 388

---

[6]
Computed, not measured: a crystal of Sb2TeP relaxed with PBEsol at the SCAN level of DFT.

```
4
Lattice="-1.758 2.508 5.442 1.758 -2.508 5.442 1.758 2.508 -5.442" Properties=species:S:1:pos:R:3 pbc="T T T"
Sb 0.000 0.000 2.150
Sb 0.000 0.000 8.735
Te 0.000 2.508 0.000
P 1.758 0.000 0.000
```

Calculated values
Formation energy (no corrections), meV/atom: 392

---

Looking at VASP energy for the records above, in order, we have -81.999; -117.476; -94.454; -121.708; -120.621; -120.604 eV per cell.